# 1
This record from the Alexandria database describes crystalline Sr2Ca6La at its relaxed geometry. The functional is PBE-GGA.

Results
- Crystal system: hexagonal
- Electronic total energy: -2.187 eV per atom
- Energy of formation: 68 meV per atom

a b c (Å): 3.9277 3.9277 29.7512
angles (deg): 90.00 90.00 120.00
Space group P-6m2 (No. 187)
One atom of each set of equivalent atoms:
Sr 0.0000 0.0000 0.1741 [2 per cell]
Ca 0.0000 0.0000 0.3958 [2 per cell]
Ca 0.6667 0.3333 0.0612 [2 per cell]
Ca 0.6667 0.3333 0.2881 [2 per cell]
La 0.6667 0.3333 0.5000 [1 per cell]

# 2
This record from the Alexandria database describes crystalline KP2SN at its relaxed geometry. The functional is PBE-GGA.

Results
- Crystal system: tetragonal
- Electronic total energy: -2.421 eV per atom
- Uncorrected formation energy: 2452.7 meV per atom
- Energy above the lowest structure with this stoichiometry: 153.0 kJ/mol of atoms

a b c (Å): 7.1047 7.1047 6.0329
angles (deg): 90.00 90.00 90.00
Space group P4/mmm (No. 123)
One atom of each set of equivalent atoms:
K 0.0000 0.0000 0.0000 [1 per cell]
P 0.0000 0.5000 0.0000 [2 per cell]
S 0.0000 0.0000 0.5000 [1 per cell]
N 0.5000 0.5000 0.5000 [1 per cell]

# 3
This record from the Alexandria database describes crystalline ZnPt4Rh3 at its relaxed geometry. The functional is PBE-GGA.

Results
- Crystal system: orthorhombic
- Electronic total energy: -5.946 eV per atom
- Energy of formation: -9 meV per atom

a b c (Å): 2.7163 8.6207 10.4540
angles (deg): 90.00 90.00 90.00
Space group Immm (No. 71)
One atom of each set of equivalent atoms:
Zn 0.0000 0.0000 0.0000 [2 per cell]
Pt 0.0000 0.2641 0.1289 [8 per cell]
Rh 0.0000 0.0000 0.5000 [2 per cell]
Rh 0.0000 0.5000 0.2887 [4 per cell]

# 4
This record from the Alexandria database describes crystalline YAlAu2 at its relaxed geometry. The functional is PBE-GGA.

Results
- Crystal system: trigonal
- Electronic total energy: -4.798 eV per atom
- Energy of formation: -607 meV per atom

a b c (Å): 4.4568 4.4568 14.9256
angles (deg): 90.00 90.00 120.00
Space group R3m (No. 160, hexagonal axes)
One atom of each set of equivalent atoms:
Y 0.0000 0.0000 0.0000 [3 per cell]
Al 0.0000 0.0000 0.2025 [3 per cell]
Au 0.0000 0.0000 0.5602 [3 per cell]
Au 0.0000 0.0000 0.7866 [3 per cell]

# 5
This record from the Alexandria database describes crystalline Ba2AsAu at its relaxed geometry. The functional is PBE-GGA.

Results
- Crystal system: tetragonal
- Electronic total energy: -3.645 eV per atom
- Energy of formation: -702 meV per atom

a b c (Å): 4.7332 4.7332 11.4916
angles (deg): 90.00 90.00 90.00
Space group I-4m2 (No. 119)
One atom of each set of equivalent atoms:
Ba 0.0000 0.0000 0.0000 [2 per cell]
Ba 0.0000 0.5000 0.2500 [2 per cell]
As 0.0000 0.5000 0.7500 [2 per cell]
Au 0.0000 0.0000 0.5000 [2 per cell]

# 6
This record from the Alexandria database describes crystalline RbSr2ZrMo at its relaxed geometry. The functional is PBE-GGA.

Results
- Crystal system: tetragonal
- Electronic total energy: -3.818 eV per atom
- Energy of formation: 924 meV per atom

a b c (Å): 6.6187 6.6187 4.8844
angles (deg): 90.00 90.00 90.00
Space group P4/mmm (No. 123)
One atom of each set of equivalent atoms:
Rb 0.0000 0.0000 0.0000 [1 per cell]
Sr 0.0000 0.5000 0.5000 [2 per cell]
Zr 0.5000 0.5000 0.5000 [1 per cell]
Mo 0.5000 0.5000 0.0000 [1 per cell]